Computed, not measured: a geometry-optimized CeDyTh6 structure at the PBE level of DFT.

Lattice parameters (Å, degrees): 5.0104 5.0104 10.0377 90.00 90.00 90.00
With the nearest neighbours (Å) after each atom.
Sites, in units of the cell vectors:
1 Ce 0.0000 0.0000 0.0000  12 Th 3.52-3.54
2 Dy 0.0000 0.0000 0.5000  12 Th 3.54-3.57
3 Th 0.0000 0.5000 0.2464  8 Th 3.52-3.57, 2 Ce 3.52, 2 Dy 3.57
4 Th 0.0000 0.5000 0.7536  8 Th 3.52-3.57, 2 Ce 3.52, 2 Dy 3.57
5 Th 0.5000 0.0000 0.2464  8 Th 3.52-3.57, 2 Ce 3.52, 2 Dy 3.57
6 Th 0.5000 0.0000 0.7536  8 Th 3.52-3.57, 2 Ce 3.52, 2 Dy 3.57
7 Th 0.5000 0.5000 0.0000  8 Th 3.52, 4 Ce 3.54
8 Th 0.5000 0.5000 0.5000  4 Dy 3.54, 8 Th 3.57

---

Computed, not measured: a geometry-optimized Ce2DyTh structure at the PBE level of DFT.

Lattice parameters (Å, degrees): 5.5861 5.5861 5.5861 60.00 60.00 60.00
With the nearest neighbours (Å) after each atom.
Sites, in units of the cell vectors:
1 Ce 0.2500 0.2500 0.2500  4 Dy 3.42, 4 Th 3.42
2 Ce 0.7500 0.7500 0.7500  4 Th 3.42, 4 Dy 3.42
3 Dy 0.0000 0.0000 0.0000  8 Ce 3.42
4 Th 0.5000 0.5000 0.5000  8 Ce 3.42

Excess energy over the best structure of this formula in the dataset in eV/atom: 0.2172

---

Computed, not measured: a geometry-optimized CeDy2Th2 structure at the PBE level of DFT.

Lattice parameters (Å, degrees): 8.2343 8.2343 5.8420 106.96 106.96 108.79
With the nearest neighbours (Å) after each atom.
Sites, in units of the cell vectors:
1 Ce 0.0505 0.9495 0.7500  2 Ce 3.22, 4 Dy 3.28-3.33
2 Ce 0.9495 0.0505 0.2500  2 Ce 3.22, 4 Dy 3.28-3.33
3 Dy 0.2660 0.3918 0.8467  2 Ce 3.28-3.33, 3 Dy 3.31-3.37, 4 Th 3.31-3.58
4 Dy 0.3918 0.2660 0.3467  2 Ce 3.28-3.33, 3 Dy 3.31-3.37, 4 Th 3.31-3.58
5 Dy 0.6082 0.7340 0.6533  2 Ce 3.28-3.33, 3 Dy 3.31-3.37, 4 Th 3.31-3.58
6 Dy 0.7340 0.6082 0.1533  2 Ce 3.28-3.33, 3 Dy 3.31-3.37, 4 Th 3.31-3.58
7 Th 0.1419 0.5682 0.3634  2 Th 3.29-3.63, 4 Dy 3.31-3.58
8 Th 0.4318 0.8581 0.1366  2 Th 3.29-3.63, 4 Dy 3.31-3.58
9 Th 0.5682 0.1419 0.8634  2 Th 3.29-3.63, 4 Dy 3.31-3.58
10 Th 0.8581 0.4318 0.6366  2 Th 3.29-3.63, 4 Dy 3.31-3.58

---

| no. | energy relative to the elements (meV per atom) | total magnetic moment (μB per atom) |
| --- | --- | --- |
| 1 | 37 | 0.00 |
| 2 | 274 | 0.60 |
| 3 | 292 | 0.14 |